Entry 1:
Entry from Alexandria: a relaxed structure of TaPb (PBE).

Output
- Offset from the most stable computed form: 0.029 eV per atom
- Theoretical density: 12.6 g/cm3

abc: 3.4755 3.4755 8.4361
angles: 90.00 90.00 90.00
Space group P4/nmm (No. 129, origin choice 2)
Symmetry-distinct sites (fractional):
Ta 0.2500 0.2500 0.0754
Pb 0.2500 0.2500 0.6914

=====

Entry 2:
Entry from Alexandria: a relaxed structure of TaPb (PBE).

Output
- Offset from the most stable computed form: 0.485 eV per atom
- Theoretical density: 15.2 g/cm3

abc: 3.4897 3.4897 3.4897
angles: 90.00 90.00 90.00
Space group Pm-3m (No. 221)
Symmetry-distinct sites (fractional):
Ta 0.0000 0.0000 0.0000
Pb 0.5000 0.5000 0.5000

=====

Entry 3:
Entry from Alexandria: a relaxed structure of Ta2Pb (PBE).

Output
- VASP energy: -8.62 eV/atom
- Theoretical density: 14.6 g/cm3

abc: 5.6764 5.6764 9.2761
angles: 90.00 90.00 120.00
Space group P6_3/mmc (No. 194)
Symmetry-distinct sites (fractional):
Ta 0.0000 0.0000 0.0000
Ta 0.1645 0.3290 0.2500
Pb 0.3333 0.6667 0.5626

=====

theoretical density of number 1 (TaPb)?
12.6 g/cm3

=====

The highest theoretical density belongs to which entry?
number 2

=====

Repeat the second record exactly.
Entry from Alexandria: a relaxed structure of TaPb (PBE).

Output
- Offset from the most stable computed form: 0.485 eV per atom
- Theoretical density: 15.2 g/cm3

abc: 3.4897 3.4897 3.4897
angles: 90.00 90.00 90.00
Space group Pm-3m (No. 221)
Symmetry-distinct sites (fractional):
Ta 0.0000 0.0000 0.0000
Pb 0.5000 0.5000 0.5000